[1]
# Ti6CuC4

Ti6CuC4 after structural relaxation (PBE-GGA, Alexandria).

a = 3.103 Å, b = 5.383 Å, c = 16.295 Å
α = 90.00°, β = 90.00°, γ = 106.75°
Fractional positions:
Ti  0.500  0.000  0.000
Ti  0.500  0.000  0.500
Ti  0.036  0.072  0.350
Ti  0.964  0.928  0.650
Ti  0.964  0.928  0.850
Ti  0.036  0.072  0.150
Ti  0.774  0.548  0.423
Ti  0.226  0.452  0.577
Ti  0.226  0.452  0.923
Ti  0.774  0.548  0.077
Ti  0.348  0.696  0.250
Ti  0.652  0.304  0.750
Cu  0.658  0.316  0.250
Cu  0.342  0.684  0.750
C  0.861  0.723  0.540
C  0.408  0.816  0.123
C  0.139  0.277  0.460
C  0.592  0.184  0.877
C  0.861  0.723  0.960
C  0.139  0.277  0.040
C  0.592  0.184  0.623
C  0.408  0.816  0.377

## Properties
As for the symmetry: No. 63. For the energy, the calculation gives -8.70 eV/atom. Its crystal system is orthorhombic.

***

[2]
# ZrPaCoNi

ZrPaCoNi after structural relaxation (PBE-GGA, Alexandria).

a = 4.629 Å, b = 4.629 Å, c = 4.629 Å
α = 60.00°, β = 60.00°, γ = 60.00°
Fractional positions:
Ni  0.250  0.250  0.250
Pa  0.500  0.500  0.500
Co  0.750  0.750  0.750
Zr  0.000  0.000  0.000

## Properties
As for the symmetry: No. 216. The energy above the most stable polymorph in this dataset is 0.201 eV per atom. Its crystal system is cubic.

***

[3]
# YCrRu2

YCrRu2 after structural relaxation (PBE-GGA, Alexandria).

a = 5.249 Å, b = 5.249 Å, c = 4.722 Å
α = 71.98°, β = 71.98°, γ = 34.10°
Last column: magnetic moment on the atom in μB.
Fractional positions:
Cr  0.274  0.274  0.196  2.63
Ru  0.001  0.001  0.989  -0.09
Ru  0.730  0.730  0.814  -0.16
Y  0.495  0.495  0.501  0.06

## Properties
As for the symmetry: No. 8. The energy above the most stable polymorph in this dataset is 0.175 eV per atom. Its crystal system is monoclinic.

***

| no. | N(E_F) (states/eV per cell) | size of the total moment (μB/cell) |
| --- | --- | --- |
| 1 | 10.59 | 0.000 |
| 2 | 6.55 | 0.001 |
| 3 | 4.20 | 2.718 |